(1)
# LaSi2Pt PBE optimized geometry
data_LaSi2Pt
_cell_length_a 4.3714
_cell_length_b 16.9239
_cell_length_c 4.2749
_cell_angle_alpha 90.00
_cell_angle_beta 90.00
_cell_angle_gamma 90.00
_symmetry_space_group_name_H-M 'C m c m'
_symmetry_Int_Tables_number 63
_symmetry_space_group_name_Hall '-C 2c 2'
loop_
_atom_site_label
_atom_site_type_symbol
_atom_site_fract_x
_atom_site_fract_y
_atom_site_fract_z
_atom_site_occupancy
La1 La 0.0000 0.1049 0.2500 1
Si1 Si 0.0000 0.2492 0.7500 1
Si2 Si 0.0000 0.4641 0.2500 1
Pt1 Pt 0.0000 0.3200 0.2500 1
# **Electronic total energy**: -6.495 eV per atom



(2)
# Sn2Pd8Pb PBE optimized geometry
data_Sn2Pd8Pb
_cell_length_a 7.5306
_cell_length_b 12.3186
_cell_length_c 4.9107
_cell_angle_alpha 90.00
_cell_angle_beta 119.84
_cell_angle_gamma 90.00
_symmetry_space_group_name_H-M 'C 1 2/m 1'
_symmetry_Int_Tables_number 12
loop_
_symmetry_equiv_pos_as_xyz
'x,y,z'
'-x,-y,-z'
'-x,y,-z'
'x,-y,z'
'x+1/2,y+1/2,z'
'-x+1/2,-y+1/2,-z'
'-x+1/2,y+1/2,-z'
'x+1/2,-y+1/2,z'
loop_
_atom_site_label
_atom_site_type_symbol
_atom_site_fract_x
_atom_site_fract_y
_atom_site_fract_z
_atom_site_occupancy
Sn1 Sn 0.0000 0.1910 0.0000 1
Pd1 Pd 0.0000 0.2785 0.5000 1
Pd2 Pd 0.0942 0.0000 0.3237 1
Pd3 Pd 0.2093 0.3841 0.1152 1
Pb1 Pb 0.0000 0.5000 0.5000 1
# **Electronic total energy**: -5.138 eV per atom



(3)
# ScMoPOs2 PBE optimized geometry
data_ScMoPOs2
_cell_length_a 4.6032
_cell_length_b 4.6032
_cell_length_c 4.5193
_cell_angle_alpha 90.00
_cell_angle_beta 90.00
_cell_angle_gamma 90.00
_symmetry_space_group_name_H-M 'P 4/m m m'
_symmetry_Int_Tables_number 123
_symmetry_space_group_name_Hall '-P 4 2'
loop_
_atom_site_label
_atom_site_type_symbol
_atom_site_fract_x
_atom_site_fract_y
_atom_site_fract_z
_atom_site_occupancy
Sc1 Sc 0.0000 0.0000 0.0000 1
Mo1 Mo 0.5000 0.5000 0.5000 1
P1 P 0.0000 0.0000 0.5000 1
Os1 Os 0.0000 0.5000 0.0000 1
# **Electronic total energy**: -6.921 eV per atom



(4)
# Er2Ge5Ir3 PBE optimized geometry
data_Er2Ge5Ir3
_cell_length_a 4.2004
_cell_length_b 24.6673
_cell_length_c 6.8791
_cell_angle_alpha 90.00
_cell_angle_beta 90.00
_cell_angle_gamma 90.00
_symmetry_space_group_name_H-M 'C m c 21'
_symmetry_Int_Tables_number 36
loop_
_symmetry_equiv_pos_as_xyz
'x,y,z'
'-x,-y,z+1/2'
'-x,y,z'
'x,-y,z+1/2'
'x+1/2,y+1/2,z'
'-x+1/2,-y+1/2,z+1/2'
'-x+1/2,y+1/2,z'
'x+1/2,-y+1/2,z+1/2'
loop_
_atom_site_label
_atom_site_type_symbol
_atom_site_fract_x
_atom_site_fract_y
_atom_site_fract_z
_atom_site_occupancy
Er1 Er 0.0000 0.0202 0.0000 1
Er2 Er 0.0000 0.3245 0.0021 1
Ge1 Ge 0.0000 0.1007 0.3630 1
Ge2 Ge 0.0000 0.2059 0.7973 1
Ge3 Ge 0.0000 0.2083 0.2247 1
Ge4 Ge 0.0000 0.3820 0.4779 1
Ge5 Ge 0.0000 0.4527 0.1625 1
Ir1 Ir 0.0000 0.1059 0.7317 1
Ir2 Ir 0.0000 0.2782 0.5122 1
Ir3 Ir 0.0000 0.4464 0.7813 1
# **Electronic total energy**: -6.576 eV per atom



(5)
# AgMoRh2 PBE optimized geometry
data_AgMoRh2
_cell_length_a 4.0423
_cell_length_b 4.0423
_cell_length_c 3.7347
_cell_angle_alpha 90.00
_cell_angle_beta 90.00
_cell_angle_gamma 90.00
_symmetry_space_group_name_H-M 'P 4/m m m'
_symmetry_Int_Tables_number 123
_symmetry_space_group_name_Hall '-P 4 2'
loop_
_atom_site_label
_atom_site_type_symbol
_atom_site_fract_x
_atom_site_fract_y
_atom_site_fract_z
_atom_site_occupancy
Ag1 Ag 0.0000 0.0000 0.0000 1
Mo1 Mo 0.5000 0.5000 0.0000 1
Rh1 Rh 0.0000 0.5000 0.5000 1
# **Electronic total energy**: -6.880 eV per atom



(6)
# SrPaRu PBE optimized geometry
data_SrPaRu
_cell_length_a 16.4953
_cell_length_b 5.0271
_cell_length_c 9.4132
_cell_angle_alpha 90.00
_cell_angle_beta 91.72
_cell_angle_gamma 90.00
_symmetry_space_group_name_H-M 'C 1 2/m 1'
_symmetry_Int_Tables_number 12
loop_
_symmetry_equiv_pos_as_xyz
'x,y,z'
'-x,-y,-z'
'-x,y,-z'
'x,-y,z'
'x+1/2,y+1/2,z'
'-x+1/2,-y+1/2,-z'
'-x+1/2,y+1/2,-z'
'x+1/2,-y+1/2,z'
loop_
_atom_site_label
_atom_site_type_symbol
_atom_site_fract_x
_atom_site_fract_y
_atom_site_fract_z
_atom_site_occupancy
Sr1 Sr 0.0579 0.0000 0.3249 1
Sr2 Sr 0.0912 0.5000 0.8925 1
Pa1 Pa 0.2015 0.5000 0.5895 1
Pa2 Pa 0.2430 0.5000 0.1513 1
Ru1 Ru 0.1681 0.0000 0.6057 1
Ru2 Ru 0.2117 0.0000 0.1349 1
# **Electronic total energy**: -6.926 eV per atom



(7)
# KScAs PBE optimized geometry
data_KScAs
_cell_length_a 6.9968
_cell_length_b 6.9968
_cell_length_c 6.9968
_cell_angle_alpha 90.00
_cell_angle_beta 90.00
_cell_angle_gamma 90.00
_symmetry_space_group_name_H-M 'F -4 3 m'
_symmetry_Int_Tables_number 216
_symmetry_space_group_name_Hall 'F -4 2 3'
loop_
_atom_site_label
_atom_site_type_symbol
_atom_site_fract_x
_atom_site_fract_y
_atom_site_fract_z
_atom_site_occupancy
K1 K 0.0000 0.0000 0.0000 1
Sc1 Sc 0.2500 0.2500 0.7500 1
As1 As 0.2500 0.2500 0.2500 1
# **Electronic total energy**: -3.449 eV per atom



(8)
# Sm2Ga3Ni4Sn PBE optimized geometry
data_Sm2Ga3Ni4Sn
_cell_length_a 4.1942
_cell_length_b 4.1942
_cell_length_c 10.0091
_cell_angle_alpha 90.00
_cell_angle_beta 90.00
_cell_angle_gamma 90.00
_symmetry_space_group_name_H-M 'P -4 m 2'
_symmetry_Int_Tables_number 115
loop_
_symmetry_equiv_pos_as_xyz
'x,y,z'
'y,-x,-z'
'-x,-y,z'
'-y,x,-z'
'-x,y,z'
'-y,-x,-z'
'x,-y,z'
'y,x,-z'
loop_
_atom_site_label
_atom_site_type_symbol
_atom_site_fract_x
_atom_site_fract_y
_atom_site_fract_z
_atom_site_occupancy
Sm1 Sm 0.0000 0.5000 0.2393 1
Ga1 Ga 0.0000 0.5000 0.8801 1
Ga2 Ga 0.5000 0.5000 0.5000 1
Ni1 Ni 0.0000 0.0000 0.0000 1
Ni2 Ni 0.0000 0.5000 0.6430 1
Ni3 Ni 0.5000 0.5000 0.0000 1
Sn1 Sn 0.0000 0.0000 0.5000 1
# **Electronic total energy**: -5.111 eV per atom



(9)
# Dy2Rh2Au PBE optimized geometry
data_Dy2Rh2Au
_cell_length_a 7.3316
_cell_length_b 7.3316
_cell_length_c 3.7853
_cell_angle_alpha 90.00
_cell_angle_beta 90.00
_cell_angle_gamma 90.00
_symmetry_space_group_name_H-M 'P 4/m b m'
_symmetry_Int_Tables_number 127
_symmetry_space_group_name_Hall '-P 4 2ab'
loop_
_atom_site_label
_atom_site_type_symbol
_atom_site_fract_x
_atom_site_fract_y
_atom_site_fract_z
_atom_site_occupancy
Dy1 Dy 0.1715 0.3285 0.0000 1
Rh1 Rh 0.1326 0.6326 0.5000 1
Au1 Au 0.0000 0.0000 0.5000 1
# **Electronic total energy**: -6.259 eV per atom



(10)
# TbSmC PBE optimized geometry
data_TbSmC
_cell_length_a 6.6454
_cell_length_b 3.4712
_cell_length_c 11.8962
_cell_angle_alpha 90.00
_cell_angle_beta 90.00
_cell_angle_gamma 90.00
_symmetry_space_group_name_H-M 'P n m a'
_symmetry_Int_Tables_number 62
loop_
_symmetry_equiv_pos_as_xyz
'x,y,z'
'-x,-y,-z'
'-x+1/2,-y,z+1/2'
'x+1/2,y,-z+1/2'
'x+1/2,-y+1/2,-z+1/2'
'-x+1/2,y+1/2,z+1/2'
'-x,y+1/2,-z'
'x,-y+1/2,z'
loop_
_atom_site_label
_atom_site_type_symbol
_atom_site_fract_x
_atom_site_fract_y
_atom_site_fract_z
_atom_site_occupancy
Tb1 Tb 0.2171 0.2500 0.0016 1
Sm1 Sm 0.0746 0.7500 0.2478 1
C1 C 0.0842 0.7500 0.8732 1
# **Electronic total energy**: -6.230 eV per atom



Among the records above, which one has the lowest electronic total energy? SrPaRu